DFT (meta-GGA SCAN) results for a crystal of ScZnHg2 relaxed with PBEsol.

Calculated formation energy in eV/atom: -0.320
Total DFT energy (no corrections) in eV/cell: -165.4
Fermi-level density of states in states/eV/f.u.: 2.5

Geometry as extended XYZ:
```
4
Lattice="4.039 0.000 0.000 0.000 4.366 0.000 0.000 0.000 4.366" Properties=species:S:1:pos:R:3 pbc="T T T"
Hg 0.000 2.183 0.000
Zn 2.019 0.000 0.000
Hg 0.000 0.000 2.183
Sc 2.019 2.183 2.183
```